No. 1
YSiHg: relaxed, GGA-PBE.

## Properties
Total DFT energy (no corrections): -4.104 eV per atom
Magnetization: 0.004 μB per cell

Unit cell a=4.842 b=4.842 c=4.842 alpha=60.00 beta=60.00 gamma=60.00
Sites, in units of the cell vectors:
Y: 0.000 0.000 0.000
Si: 0.250 0.250 0.250
Hg: 0.750 0.750 0.750

=====

No. 2
DyLuSiGeOs: relaxed, GGA-PBE.

## Properties
Total DFT energy (no corrections): -6.868 eV per atom
Magnetization: 0.130 μB per cell

Unit cell a=5.718 b=5.718 c=10.028 alpha=116.43 beta=116.43 gamma=43.20
Sites, in units of the cell vectors:
Dy: 0.009 0.009 0.176
Dy: 0.991 0.991 0.824
Lu: 0.183 0.183 0.617
Lu: 0.817 0.817 0.383
Si: 0.356 0.356 0.940
Si: 0.644 0.644 0.060
Ge: 0.485 0.485 0.623
Ge: 0.515 0.515 0.377
Os: 0.268 0.268 0.126
Os: 0.732 0.732 0.874

=====

No. 3
TaCdCuPd: relaxed, GGA-PBE.

## Properties
Total DFT energy (no corrections): -5.212 eV per atom
Magnetization: 0.008 μB per cell
Formation enthalpy at 0 K: 198 meV/atom

Unit cell a=4.495 b=4.495 c=4.495 alpha=60.00 beta=60.00 gamma=60.00
Sites, in units of the cell vectors:
Ta: 0.000 0.000 0.000
Cd: 0.750 0.750 0.750
Cu: 0.250 0.250 0.250
Pd: 0.500 0.500 0.500

=====

| no. | calculated density (g/cm3) |
| --- | --- |
| 1 | 6.6 |
| 2 | 10.6 |
| 3 | 12.0 |